No. 1
The following is a DFT calculation (GGA-PBE) of an optimized crystal structure of K3CdHg7. Values from VASP.

Structure (Quantum ESPRESSO input):
```
&SYSTEM
  ibrav = 0, nat = 22, ntyp = 3
/
ATOMIC_SPECIES
K 39.10 K.upf
Cd 112.41 Cd.upf
Hg 200.59 Hg.upf
CELL_PARAMETERS angstrom
2.106 -12.732 0.000
2.106 12.732 0.000
0.000 0.000 14.244
ATOMIC_POSITIONS crystal
K 0.097 0.903 0.550
K 0.097 0.903 0.950
K 0.238 0.762 0.250
K 0.762 0.238 0.750
K 0.903 0.097 0.050
K 0.903 0.097 0.450
Cd 0.046 0.954 0.250
Cd 0.954 0.046 0.750
Hg 0.292 0.708 0.012
Hg 0.292 0.708 0.488
Hg 0.369 0.631 0.646
Hg 0.369 0.631 0.854
Hg 0.423 0.577 0.250
Hg 0.486 0.514 0.603
Hg 0.486 0.514 0.897
Hg 0.514 0.486 0.103
Hg 0.514 0.486 0.397
Hg 0.577 0.423 0.750
Hg 0.631 0.369 0.146
Hg 0.631 0.369 0.354
Hg 0.708 0.292 0.512
Hg 0.708 0.292 0.988
```

Its formation energy is -0.171 eV per atom. Its space group is Cmcm. The crystal system is orthorhombic. As for the magnetic moment: 0.000 μB per atom.

=====

No. 2
The following is a DFT calculation (GGA-PBE) of an optimized crystal structure of KCd3Hg7. Values from VASP.

Structure (Quantum ESPRESSO input):
```
&SYSTEM
  ibrav = 0, nat = 11, ntyp = 3
/
ATOMIC_SPECIES
K 39.10 K.upf
Cd 112.41 Cd.upf
Hg 200.59 Hg.upf
CELL_PARAMETERS angstrom
8.755 0.000 0.000
-4.378 7.582 0.000
0.000 0.000 4.595
ATOMIC_POSITIONS crystal
K 0.000 0.000 0.000
Cd 0.405 0.203 0.489
Cd 0.797 0.203 0.489
Cd 0.797 0.595 0.489
Hg 0.076 0.538 0.006
Hg 0.187 0.374 0.507
Hg 0.187 0.813 0.507
Hg 0.462 0.538 0.006
Hg 0.462 0.924 0.006
Hg 0.626 0.813 0.507
Hg 0.667 0.333 0.986
```

Its formation energy is -0.059 eV per atom. Its space group is P3m1. The crystal system is trigonal. As for the magnetic moment: 0.000 μB per atom.

=====

No. 3
The following is a DFT calculation (GGA-PBE) of an optimized crystal structure of KCd3Hg8. Values from VASP.

Structure (Quantum ESPRESSO input):
```
&SYSTEM
  ibrav = 0, nat = 12, ntyp = 3
/
ATOMIC_SPECIES
K 39.10 K.upf
Cd 112.41 Cd.upf
Hg 200.59 Hg.upf
CELL_PARAMETERS angstrom
5.944 0.000 0.000
-2.972 5.148 0.000
0.000 0.000 10.988
ATOMIC_POSITIONS crystal
K 0.000 0.000 0.000
Cd 0.000 0.000 0.500
Cd 0.333 0.667 0.501
Cd 0.667 0.333 0.499
Hg 0.001 0.342 0.260
Hg 0.333 0.667 0.997
Hg 0.341 0.999 0.260
Hg 0.342 0.341 0.740
Hg 0.658 0.659 0.260
Hg 0.659 0.001 0.740
Hg 0.667 0.333 0.003
Hg 0.999 0.658 0.740
```

Its formation energy is -0.047 eV per atom. Its space group is P-3. The crystal system is trigonal. As for the magnetic moment: 0.000 μB per atom.